# 1
A plane-wave DFT calculation with meta-GGA SCAN was carried out for a crystal of TiGeRu relaxed with PBEsol.

Output
formation energy from the elements	-0.818	eV/atom
Fermi-level density of states	11.2	states/eV per cell

Unit cell a=7.1346 b=11.2498 c=6.5270 alpha=90.00 beta=90.00 gamma=90.00
Space group Ima2 (No. 46)
One atom of each set of equivalent atoms:
Ti 0.2500 0.0022 0.0000
Ti 0.2500 0.2270 0.6506
Ti 0.2500 0.6937 0.1166
Ge 0.0060 0.6673 0.4196
Ge 0.2500 0.0372 0.4092
Ru 0.0000 0.0000 0.6676
Ru 0.0409 0.6257 0.7915



# 2
A plane-wave DFT calculation with meta-GGA SCAN was carried out for a crystal of NbRuRh2N relaxed with PBEsol.

Output
uncorrected formation energy	1080	meV/atom
Fermi-level density of states	5.4	states/eV per cell

Unit cell a=4.7656 b=4.7656 c=3.5459 alpha=90.00 beta=90.00 gamma=90.00
Space group P4/mmm (No. 123)
One atom of each set of equivalent atoms:
Nb 0.0000 0.0000 0.0000
Ru 0.5000 0.5000 0.5000
Rh 0.0000 0.5000 0.5000
N 0.5000 0.5000 0.0000



# 3
A plane-wave DFT calculation with meta-GGA SCAN was carried out for a crystal of ZnOsCl2 relaxed with PBEsol.

Output
ΔE to the lowest computed polymorph	0	meV/atom
uncorrected formation energy	329	meV/atom
Fermi-level density of states	1.1	states/eV per cell

Unit cell a=2.9487 b=2.9487 c=7.6830 alpha=90.00 beta=90.00 gamma=90.00
Space group P4mm (No. 99)
One atom of each set of equivalent atoms:
Zn 0.0000 0.0000 0.0000
Os 0.5000 0.5000 0.7671
Cl 0.0000 0.0000 0.5772
Cl 0.5000 0.5000 0.2023



# 4
A plane-wave DFT calculation with meta-GGA SCAN was carried out for a crystal of MgZr2Rh relaxed with PBEsol.

Output
formation energy from the elements	-0.476	eV/atom
ΔE to the lowest computed polymorph	0	meV/atom
Fermi-level density of states	1.8	states/eV per cell

Unit cell a=3.2274 b=3.2274 c=7.3555 alpha=90.00 beta=90.00 gamma=90.00
Space group P4mm (No. 99)
One atom of each set of equivalent atoms:
Mg 0.0000 0.0000 0.0000
Zr 0.0000 0.0000 0.4178
Zr 0.5000 0.5000 0.6989
Rh 0.5000 0.5000 0.2166



# 5
A plane-wave DFT calculation with meta-GGA SCAN was carried out for a crystal of TaBe3 relaxed with PBEsol.

Output
formation energy from the elements	0.232	eV/atom
Fermi-level density of states	1.5	states/eV per cell

Unit cell a=2.5083 b=3.4973 c=5.0316 alpha=90.00 beta=90.00 gamma=90.00
Space group Pmm2 (No. 25)
One atom of each set of equivalent atoms:
Ta 0.0000 0.0000 0.0000
Be 0.0000 0.5000 0.6182
Be 0.5000 0.0000 0.5055
Be 0.5000 0.5000 0.2589



# 6
A plane-wave DFT calculation with meta-GGA SCAN was carried out for a crystal of KSrPb4 relaxed with PBEsol.

Output
formation energy from the elements	-0.426	eV/atom
Fermi-level density of states	19.7	states/eV per cell

Unit cell a=9.2778 b=9.2778 c=9.2778 alpha=90.00 beta=90.00 gamma=90.00
Space group F-43m (No. 216)
One atom of each set of equivalent atoms:
K 0.0000 0.0000 0.0000
Sr 0.2500 0.2500 0.7500
Pb 0.1244 0.1244 0.3756